The following is a DFT calculation (GGA-PBE) of crystalline La8TlSn2 at its relaxed geometry.

a b c (Å): 8.839 8.839 6.092
angles (deg): 103.80 103.80 117.54
Sites, in units of the cell vectors:
La: 0.082 0.303 0.566
La: 0.225 0.775 0.000
La: 0.303 0.082 0.566
La: 0.401 0.401 0.196
La: 0.599 0.599 0.804
La: 0.697 0.918 0.434
La: 0.775 0.225 0.000
La: 0.918 0.697 0.434
Tl: 0.000 0.000 0.000
Sn: 0.305 0.695 0.500
Sn: 0.695 0.305 0.500

Values from the calculation:
symmetry: C2/m, No. 12
distance to the lowest polymorph of the same formula: 25 meV per atom



The following is a DFT calculation (GGA-PBE) of crystalline La6TlSn at its relaxed geometry.

a b c (Å): 5.054 5.054 10.094
angles (deg): 90.00 90.00 90.00
Sites, in units of the cell vectors:
La: 0.000 0.000 0.000
La: 0.000 0.000 0.500
La: 0.000 0.500 0.246
La: 0.000 0.500 0.754
La: 0.500 0.000 0.246
La: 0.500 0.000 0.754
Tl: 0.500 0.500 0.500
Sn: 0.500 0.500 0.000

Values from the calculation:
symmetry: P4/mmm, No. 123



The following is a DFT calculation (GGA-PBE) of crystalline La2TlSn9 at its relaxed geometry.

a b c (Å): 4.810 4.810 14.563
angles (deg): 90.00 90.00 90.00
Sites, in units of the cell vectors:
La: 0.000 0.000 0.159
La: 0.000 0.000 0.841
Tl: 0.000 0.000 0.500
Sn: 0.000 0.500 0.000
Sn: 0.000 0.500 0.334
Sn: 0.000 0.500 0.666
Sn: 0.500 0.000 0.000
Sn: 0.500 0.000 0.334
Sn: 0.500 0.000 0.666
Sn: 0.500 0.500 0.168
Sn: 0.500 0.500 0.500
Sn: 0.500 0.500 0.832

Values from the calculation:
symmetry: P4/mmm, No. 123



The following is a DFT calculation (GGA-PBE) of crystalline La3Tl2Sn at its relaxed geometry.

a b c (Å): 8.406 8.406 4.400
angles (deg): 90.00 90.00 143.14
Sites, in units of the cell vectors:
La: 0.000 0.000 0.000
La: 0.338 0.662 0.000
La: 0.662 0.338 0.000
Tl: 0.172 0.828 0.500
Tl: 0.828 0.172 0.500
Sn: 0.500 0.500 0.500

Values from the calculation:
symmetry: Cmmm, No. 65
distance to the lowest polymorph of the same formula: 0 meV per atom



In order of appearance, ΔE_f = -3.6 -3.0 -4.2 -3.2 eV per formula unit.